Material: V2ZnCF
Method: DFT, GGA+U
State: relaxed

It has space group P4/mmm (No. 123), with a = 4.967 Å, b = 4.967 Å, c = 3.796 Å, α = 90.00°, β = 90.00° and γ = 90.00°. Symmetry generates all atoms from V at (0.000, 0.500, 0.000), Zn at (0.000, 0.000, 0.000), C at (0.500, 0.500, 0.500) and F at (0.000, 0.000, 0.500).

The calculated total energy comes out at -3.76 eV/atom. For the magnetic moment, the calculation gives 1.2744 μB per atom.